VASP calculation (PBE-GGA) on a relaxed structure of TbZr2Se4.

## Properties
Mass density in g/cm3: 6.6
Raw formation energy in eV/atom: -1.41
E in eV per cell: -182.1

The structure in CIF format:
```
data_TbZr2Se4
_cell_length_a 3.7799
_cell_length_b 12.5706
_cell_length_c 13.8225
_cell_angle_alpha 90.00
_cell_angle_beta 90.00
_cell_angle_gamma 90.00
_symmetry_space_group_name_H-M 'C m c m'
_symmetry_Int_Tables_number 63
_symmetry_space_group_name_Hall '-C 2c 2'
loop_
_atom_site_label
_atom_site_fract_x
_atom_site_fract_y
_atom_site_fract_z
Tb1 0.0000 0.1052 0.2500
Zr1 0.0000 0.3508 0.0587
Se1 0.0000 0.0000 0.0000
Se2 0.0000 0.2864 0.6268
Se3 0.0000 0.4377 0.2500
```